Here is an optimized crystal structure of Pa2CrBiO8 from the Alexandria database. Energies are from GGA+U.

Geometry as extended XYZ:
```
12
Lattice="-3.209 -3.267 -2.832 -2.083 -1.923 4.578 -1.196 6.472 -0.993" Properties=species:S:1:pos:R:3 pbc="T T T"
O -2.295 3.279 1.642
O -1.759 4.193 -0.809
O -4.199 1.819 0.624
O -2.500 -0.287 0.162
O -3.992 -2.255 -0.856
O -3.026 -1.193 2.547
O -3.204 2.271 -1.814
O -4.976 -2.699 1.516
Pa -2.962 0.977 2.229
Pa -2.646 -2.595 0.873
Bi 0.000 0.000 0.000
Cr -3.525 0.305 -1.476
```

Output
Crystal system ... tetragonal
Total DFT energy (no corrections) ... -0.311 hartree per atom
Symmetry ... I-4
Volume ... 13.19 A^3/atom